Computed, not measured: crystalline PaAl2Ge at its relaxed geometry at the PBE level of DFT.

Crystal system = tetragonal
Magnetization = 0.0 μB per formula unit
E_tot = -23.01 eV for the cell shown

a = 4.2035 Å, b = 4.2035 Å, c = 4.4547 Å
α = 90.00°, β = 90.00°, γ = 90.00°
Space group P4/mmm (No. 123)
Inequivalent atoms, fractional coordinates:
Pa  0.0000  0.0000  0.0000 [1 per cell]
Al  0.0000  0.5000  0.5000 [2 per cell]
Ge  0.5000  0.5000  0.0000 [1 per cell]